[1]
{
  "formula": "VTc3C",
  "functional": "PBE-GGA",
  "state": "relaxed",
  "lattice_angstrom": [[4.439, 0.000, 0.000], [0.000, 4.439, 0.000], [0.000, 0.000, 4.439]],
  "species": ["V", "Tc", "Tc", "Tc", "C"],
  "frac_coords": [[0.000, 0.000, 0.000], [0.000, 0.000, 0.500], [0.000, 0.500, 0.000], [0.500, 0.000, 0.000], [0.500, 0.500, 0.500]],
  "formation_enthalpy_0k_kj_per_mol_atoms": 245.05,
  "mass_density_g_cm3": 6.776
}


[2]
{
  "formula": "VTc3C",
  "functional": "PBE-GGA",
  "state": "relaxed",
  "lattice_angstrom": [[4.042, 0.000, 0.000], [0.000, 4.042, 0.000], [0.000, 0.000, 4.042]],
  "species": ["V", "Tc", "Tc", "Tc", "C"],
  "frac_coords": [[0.000, 0.000, 0.000], [0.000, 0.500, 0.500], [0.500, 0.000, 0.500], [0.500, 0.500, 0.000], [0.500, 0.500, 0.500]],
  "formation_enthalpy_0k_kj_per_mol_atoms": 3.56,
  "mass_density_g_cm3": 8.977
}